First-principles (PBE) data for an optimized crystal structure of PmSm2TmTl2, as listed in the Alexandria database.

DFT formation energy in meV per atom: -268
VASP energy in eV/atom: -4.167
Space group: Pmc2_1, No. 26

Cell lengths 5.151, 10.123, 6.927 Å; angles 90.00, 90.00, 90.00 degrees
Fractional coordinates of all 12 atoms:
Pm1 0.000 0.045 0.000
Pm2 0.000 0.955 0.500
Sm1 0.000 0.317 0.376
Sm2 0.000 0.683 0.876
Sm3 0.500 0.453 0.095
Sm4 0.500 0.547 0.595
Tm1 0.500 0.189 0.716
Tm2 0.500 0.811 0.216
Tl1 0.000 0.360 0.837
Tl2 0.000 0.640 0.337
Tl3 0.500 0.128 0.264
Tl4 0.500 0.872 0.764